[1]
Entry from Alexandria via LeMat-Bulk: a relaxed LaCeY2 crystal (PBE).

- formation energy from the elements (meV per atom) = 86.3
- DOS(E_F) (states/eV/cell) = 8.64
- E above lowest polymorph (meV per atom) = 29

abc: 5.1352 5.1352 5.0165
angles: 90.00 90.00 90.00
Space group P4/mmm (No. 123)
Symmetry-distinct sites (fractional):
La1 0.0000 0.0000 0.0000 (multiplicity 1)
Ce1 0.5000 0.5000 0.0000 (multiplicity 1)
Y1 0.0000 0.5000 0.5000 (multiplicity 2)

[2]
Entry from Alexandria via LeMat-Bulk: a relaxed Co2Hg2Os crystal (PBE).

- formation energy from the elements (meV per atom) = 913.2
- DOS(E_F) (states/eV/cell) = 9.81
- E above lowest polymorph (meV per atom) = 0

abc: 3.1714 3.1714 16.7336
angles: 90.00 90.00 90.00
Space group I4/mmm (No. 139)
Symmetry-distinct sites (fractional):
Co1 0.0000 0.5000 0.2500 (multiplicity 4)
Hg1 0.0000 0.0000 0.1120 (multiplicity 4)
Os1 0.0000 0.0000 0.5000 (multiplicity 2)

[3]
Entry from Alexandria via LeMat-Bulk: a relaxed Dy8Cd2Ni crystal (PBE).

- formation energy from the elements (meV per atom) = -136.7
- DOS(E_F) (states/eV/cell) = 21.06

abc: 17.5169 5.3479 6.8437
angles: 90.00 109.22 90.00
Space group C2/m (No. 12)
Symmetry-distinct sites (fractional):
Dy1 0.0200 0.0000 0.2813 (multiplicity 4)
Dy2 0.0909 0.5000 0.9241 (multiplicity 4)
Dy3 0.1482 0.5000 0.4492 (multiplicity 4)
Dy4 0.1993 0.0000 0.7849 (multiplicity 4)
Cd1 0.1843 0.0000 0.2125 (multiplicity 4)
Ni1 0.0000 0.5000 0.5000 (multiplicity 2)

[4]
Entry from Alexandria via LeMat-Bulk: a relaxed RePtN3 crystal (PBE).

- ΔE_f (raw) (kcal/mol of atoms) = 53.77
- DOS(E_F) (states/eV/cell) = 3.32

abc: 3.8780 3.8780 3.8780
angles: 90.00 90.00 90.00
Space group Pm-3m (No. 221)
Symmetry-distinct sites (fractional):
Re1 0.0000 0.0000 0.0000 (multiplicity 1)
Pt1 0.5000 0.5000 0.5000 (multiplicity 1)
N1 0.0000 0.5000 0.5000 (multiplicity 3)

[5]
Entry from Alexandria via LeMat-Bulk: a relaxed BeW crystal (PBE).

- formation energy from the elements (meV per atom) = 454.7
- DOS(E_F) (states/eV/cell) = 2.69
- E above lowest polymorph (meV per atom) = 682

abc: 2.5780 4.5881 4.5368
angles: 90.00 90.00 90.00
Space group Pmmn (No. 59, origin choice 2)
Symmetry-distinct sites (fractional):
Be1 0.2500 0.2500 0.1076 (multiplicity 2)
W1 0.2500 0.7500 0.3863 (multiplicity 2)

[6]
Entry from Alexandria via LeMat-Bulk: a relaxed Pu8InPt6 crystal (PBE).

- formation energy from the elements (meV per atom) = -292.9
- DOS(E_F) (states/eV/cell) = 120.54

abc: 6.2677 6.2677 27.2402
angles: 90.00 90.00 120.00
Space group R-3 (No. 148, hexagonal axes)
Symmetry-distinct sites (fractional):
Pu1 0.0000 0.0000 0.1870 (multiplicity 6)
Pu2 0.0019 0.3277 0.3118 (multiplicity 18)
In1 0.0000 0.0000 0.5000 (multiplicity 3)
Pt1 0.0285 0.2850 0.0969 (multiplicity 18)

[7]
Entry from Alexandria via LeMat-Bulk: a relaxed Nd2AlNi6Ge crystal (PBE).

- formation energy from the elements (meV per atom) = -353.3
- DOS(E_F) (states/eV/cell) = 8.39

abc: 6.1205 6.1210 6.2321
angles: 60.64 89.92 60.01
Space group P-1 (No. 2)
Symmetry-distinct sites (fractional):
Nd1 0.2054 0.0884 0.1171 (multiplicity 2)
Al1 0.5000 0.5000 0.0000 (multiplicity 1)
Ni1 0.1709 0.0060 0.6190 (multiplicity 2)
Ni2 0.3227 0.5533 0.6175 (multiplicity 2)
Ni3 0.3758 0.2945 0.3823 (multiplicity 2)
Ge1 0.0000 0.5000 0.5000 (multiplicity 1)

[8]
Entry from Alexandria via LeMat-Bulk: a relaxed NaDyPt2 crystal (PBE).

- formation energy from the elements (meV per atom) = -702.1
- DOS(E_F) (states/eV/cell) = 1.07

abc: 4.4336 4.4336 3.8856
angles: 90.00 90.00 90.00
Space group P4/mmm (No. 123)
Symmetry-distinct sites (fractional):
Na1 0.0000 0.0000 0.0000 (multiplicity 1)
Dy1 0.5000 0.5000 0.0000 (multiplicity 1)
Pt1 0.0000 0.5000 0.5000 (multiplicity 2)

[9]
Entry from Alexandria via LeMat-Bulk: a relaxed ScTcCl2 crystal (PBE).

- ΔE_f (raw) (kcal/mol of atoms) = -5.52
- DOS(E_F) (states/eV/cell) = 2.88
- E above lowest polymorph (meV per atom) = 466

abc: 3.0452 4.2311 5.6860
angles: 90.00 90.00 90.00
Space group Pmmm (No. 47)
Symmetry-distinct sites (fractional):
Sc1 0.0000 0.0000 0.0000 (multiplicity 1)
Tc1 0.5000 0.0000 0.5000 (multiplicity 1)
Cl1 0.0000 0.5000 0.5000 (multiplicity 1)
Cl2 0.5000 0.5000 0.0000 (multiplicity 1)

[10]
Entry from Alexandria via LeMat-Bulk: a relaxed TaVTc3 crystal (PBE).

- formation energy from the elements (meV per atom) = 920.8
- DOS(E_F) (states/eV/cell) = 2.75
- E above lowest polymorph (meV per atom) = 0

abc: 4.4130 4.4130 4.4130
angles: 90.00 90.00 90.00
Space group Pm-3m (No. 221)
Symmetry-distinct sites (fractional):
Ta1 0.0000 0.0000 0.0000 (multiplicity 1)
V1 0.5000 0.5000 0.5000 (multiplicity 1)
Tc1 0.0000 0.5000 0.5000 (multiplicity 3)

[11]
Entry from Alexandria via LeMat-Bulk: a relaxed LiCuRu3 crystal (PBE).

- formation energy from the elements (meV per atom) = 1222.5
- DOS(E_F) (states/eV/cell) = 6.74
- E above lowest polymorph (meV per atom) = 0

abc: 4.0867 4.0867 4.0867
angles: 90.00 90.00 90.00
Space group Pm-3m (No. 221)
Symmetry-distinct sites (fractional):
Li1 0.0000 0.0000 0.0000 (multiplicity 1)
Cu1 0.5000 0.5000 0.5000 (multiplicity 1)
Ru1 0.0000 0.0000 0.5000 (multiplicity 3)

[12]
Entry from Alexandria via LeMat-Bulk: a relaxed Cd3SbCl crystal (PBE).

- ΔE_f (raw) (kcal/mol of atoms) = 7.41
- DOS(E_F) (states/eV/cell) = 1.27
- E above lowest polymorph (meV per atom) = 476

abc: 5.3027 5.3027 5.3027
angles: 90.00 90.00 90.00
Space group Pm-3m (No. 221)
Symmetry-distinct sites (fractional):
Cd1 0.0000 0.0000 0.5000 (multiplicity 3)
Sb1 0.5000 0.5000 0.5000 (multiplicity 1)
Cl1 0.0000 0.0000 0.0000 (multiplicity 1)

Number 1: electronic total energy -5.8611 eV/atom. Number 2: electronic total energy -4.2958 eV/atom. Number 3: electronic total energy -4.1757 eV/atom. Number 4: electronic total energy -6.3613 eV/atom. Number 5: electronic total energy -7.8850 eV/atom. Number 6: electronic total energy -10.5355 eV/atom. Number 7: electronic total energy -5.6116 eV/atom. Number 8: electronic total energy -5.2028 eV/atom. Number 9: electronic total energy -5.3372 eV/atom. Number 10: electronic total energy -9.4930 eV/atom. Number 11: electronic total energy -5.5450 eV/atom. Number 12: electronic total energy -1.4214 eV/atom.